4
Lattice="-2.410 2.410 3.998 2.410 -2.410 3.998 2.410 2.410 -3.998" Properties=species:S:1:pos:R:3 comment="TaInSb2 (GGA-PBE, relaxed)" space_group=I4/mmm e_form_raw_ev_per_atom=0.451 crystal_system=tetragonal density_g_cm3=9.64 n_ef_per_ev_fu=4.06 m_tot_mub_per_atom=0.275 e_tot_ev_per_cell=-21.0 pbc="T T T"
Ta 0.000 0.000 0.000
In 0.000 0.000 3.998
Sb 2.410 0.000 1.999
Sb 0.000 2.410 1.999